No. 1
VASP calculation (PBE) on a relaxed structure of Pm8Si3Te4P.

Unit cell a=8.8082 b=8.8082 c=8.8082 alpha=58.53 beta=58.53 gamma=58.53
Fractional positions:
1 Pm 0.2405 0.7394 0.7394
2 Pm 0.2412 0.2412 0.2412
3 Pm 0.2606 0.2606 0.7595
4 Pm 0.2606 0.7595 0.2606
5 Pm 0.7394 0.2405 0.7394
6 Pm 0.7394 0.7394 0.2405
7 Pm 0.7588 0.7588 0.7588
8 Pm 0.7595 0.2606 0.2606
9 Si 0.0000 0.0000 0.5000
10 Si 0.0000 0.5000 0.0000
11 Si 0.5000 0.0000 0.0000
12 Te 0.0000 0.0000 0.0000
13 Te 0.0000 0.5000 0.5000
14 Te 0.5000 0.0000 0.5000
15 Te 0.5000 0.5000 0.0000
16 P 0.5000 0.5000 0.5000

Properties
ΔE_f (raw): -1.25 eV/atom

---

No. 2
VASP calculation (PBE) on a relaxed structure of PmSmP2.

Unit cell a=7.1311 b=7.1311 c=7.1311 alpha=33.60 beta=33.60 gamma=33.60
Fractional positions:
1 Pm 0.0000 0.0000 0.0000
2 Sm 0.5000 0.5000 0.5000
3 P 0.2495 0.2495 0.2495
4 P 0.7505 0.7505 0.7505

Properties
distance to the lowest polymorph of the same formula: 0.01 eV/f.u.
formation enthalpy at 0 K: -1.568 eV/atom

---

No. 3
VASP calculation (PBE) on a relaxed structure of Pm2SmP.

Unit cell a=9.8273 b=9.8273 c=9.8273 alpha=22.86 beta=22.86 gamma=22.86
Fractional positions:
1 Pm 0.2258 0.2258 0.2258
2 Pm 0.7742 0.7742 0.7742
3 Sm 0.0000 0.0000 0.0000
4 P 0.5000 0.5000 0.5000

Properties
formation enthalpy at 0 K: -0.661 eV/atom

---

No. 4
VASP calculation (PBE) on a relaxed structure of PmSmP.

Unit cell a=4.8243 b=4.8243 c=4.8243 alpha=60.00 beta=60.00 gamma=60.00
Fractional positions:
1 Pm 0.0000 0.0000 0.0000
2 Sm 0.5000 0.5000 0.5000
3 P 0.7500 0.7500 0.7500

Properties
distance to the lowest polymorph of the same formula: 0.22 eV/f.u.
formation enthalpy at 0 K: -0.868 eV/atom

---

No. 5
VASP calculation (PBE) on a relaxed structure of Pm5SmP6.

Unit cell a=7.1498 b=7.1498 c=7.1507 alpha=99.60 beta=99.60 gamma=119.98
Fractional positions:
1 Pm 0.0000 0.0000 0.0000
2 Pm 0.1666 0.8334 0.5000
3 Pm 0.3332 0.6668 0.0000
4 Pm 0.6668 0.3332 0.0000
5 Pm 0.8334 0.1666 0.5000
6 Sm 0.5000 0.5000 0.5000
7 P 0.0843 0.4169 0.2505
8 P 0.2506 0.2506 0.7496
9 P 0.4169 0.0843 0.2505
10 P 0.5831 0.9157 0.7495
11 P 0.7494 0.7494 0.2504
12 P 0.9157 0.5831 0.7495

Properties
formation enthalpy at 0 K: -1.566 eV/atom

---

No. 6
VASP calculation (PBE) on a relaxed structure of PmSmP2.

Unit cell a=5.0211 b=5.0211 c=3.5525 alpha=90.00 beta=90.00 gamma=90.00
Fractional positions:
1 Pm 0.0000 0.0000 0.0000
2 Sm 0.5000 0.5000 0.0000
3 P 0.0000 0.5000 0.5000
4 P 0.5000 0.0000 0.5000

Properties
distance to the lowest polymorph of the same formula: 2.04 eV/f.u.
formation enthalpy at 0 K: -1.060 eV/atom

---

No. 7
VASP calculation (PBE) on a relaxed structure of Pm2SmP3.

Unit cell a=7.1405 b=7.1405 c=7.1405 alpha=146.39 beta=131.83 gamma=60.01
Fractional positions:
1 Pm 0.1667 0.1667 0.0000
2 Pm 0.8333 0.8333 0.0000
3 Sm 0.5000 0.5000 0.0000
4 P 0.0000 0.5000 0.5000
5 P 0.3341 0.8341 0.5000
6 P 0.6659 0.1659 0.5000

Properties
formation enthalpy at 0 K: -1.567 eV/atom

---

No. 8
VASP calculation (PBE) on a relaxed structure of Pm2Sm3P4.

Unit cell a=7.0816 b=7.0816 c=10.0325 alpha=118.21 beta=118.21 gamma=33.58
Fractional positions:
1 Pm 0.1032 0.1032 0.3931
2 Pm 0.8968 0.8968 0.6069
3 Sm 0.2966 0.2966 0.1923
4 Sm 0.5000 0.5000 0.0000
5 Sm 0.7034 0.7034 0.8077
6 P 0.1005 0.1005 0.8991
7 P 0.2981 0.2981 0.6971
8 P 0.7019 0.7019 0.3029
9 P 0.8995 0.8995 0.1009

Properties
formation enthalpy at 0 K: -1.398 eV/atom

---

No. 9
VASP calculation (PBE) on a relaxed structure of PmSm5P6.

Unit cell a=7.1222 b=7.1222 c=7.1226 alpha=99.60 beta=99.60 gamma=119.98
Fractional positions:
1 Pm 0.0000 0.0000 0.0000
2 Sm 0.1665 0.8335 0.5000
3 Sm 0.3333 0.6667 0.0000
4 Sm 0.5000 0.5000 0.5000
5 Sm 0.6667 0.3333 0.0000
6 Sm 0.8335 0.1665 0.5000
7 P 0.0834 0.4175 0.2505
8 P 0.2507 0.2507 0.7495
9 P 0.4175 0.0834 0.2505
10 P 0.5825 0.9166 0.7495
11 P 0.7493 0.7493 0.2505
12 P 0.9166 0.5825 0.7495

Properties
formation enthalpy at 0 K: -1.571 eV/atom

---

No. 10
VASP calculation (PBE) on a relaxed structure of PmSmP.

Unit cell a=3.9891 b=3.9891 c=6.6490 alpha=90.00 beta=90.00 gamma=120.00
Fractional positions:
1 Pm 0.0000 0.0000 0.0000
2 Sm 0.6667 0.3333 0.4888
3 P 0.3333 0.6667 0.2462

Properties
distance to the lowest polymorph of the same formula: 0.00 eV/f.u.
formation enthalpy at 0 K: -0.940 eV/atom

---

No. 11
VASP calculation (PBE) on a relaxed structure of PmSmP2.

Unit cell a=7.4020 b=7.4020 c=7.4020 alpha=31.95 beta=31.95 gamma=31.95
Fractional positions:
1 Pm 0.0000 0.0000 0.0000
2 Sm 0.8285 0.8285 0.8285
3 P 0.4136 0.4136 0.4136
4 P 0.5813 0.5813 0.5813

Properties
distance to the lowest polymorph of the same formula: 0.69 eV/f.u.
formation enthalpy at 0 K: -1.398 eV/atom

---

No. 12
VASP calculation (PBE) on a relaxed structure of PmSmP2.

Unit cell a=7.1366 b=7.1366 c=7.1366 alpha=131.85 beta=131.85 gamma=70.47
Fractional positions:
1 Pm 0.3750 0.6250 0.7500
2 Pm 0.6250 0.3750 0.2500
3 Sm 0.1250 0.8750 0.2500
4 Sm 0.8750 0.1250 0.7500
5 P 0.1244 0.3744 0.7500
6 P 0.3744 0.1244 0.2500
7 P 0.6256 0.8756 0.7500
8 P 0.8756 0.6256 0.2500

Properties
distance to the lowest polymorph of the same formula: 0.00 eV/f.u.
formation enthalpy at 0 K: -1.570 eV/atom